1.
A plane-wave DFT calculation with PBE-GGA was carried out for a relaxed structure of TiCuSiRh. Values from VASP.

formation energy without anion corrections = -0.561 eV/atom

The structure in Quantum ESPRESSO input format:
```
&SYSTEM
  ibrav = 0, nat = 4, ntyp = 4
/
ATOMIC_SPECIES
Ti 47.87 Ti.upf
Cu 63.55 Cu.upf
Si 28.09 Si.upf
Rh 102.91 Rh.upf
CELL_PARAMETERS angstrom
0.000 3.006 3.006
3.006 0.000 3.006
3.006 3.006 0.000
ATOMIC_POSITIONS angstrom
Ti 0.000 0.000 0.000
Cu 1.503 1.503 1.503
Si 3.006 3.006 3.006
Rh 4.509 4.509 4.509
```

2.
A plane-wave DFT calculation with PBE-GGA was carried out for a relaxed structure of U2CuSi4Rh3. Values from VASP.

formation energy without anion corrections = -0.623 eV/atom

The structure in Quantum ESPRESSO input format:
```
&SYSTEM
  ibrav = 0, nat = 10, ntyp = 4
/
ATOMIC_SPECIES
U 238.03 U.upf
Cu 63.55 Cu.upf
Si 28.09 Si.upf
Rh 102.91 Rh.upf
CELL_PARAMETERS angstrom
4.089 0.000 0.000
0.000 4.089 0.000
0.000 0.000 9.859
ATOMIC_POSITIONS angstrom
U 0.000 2.045 2.456
U 2.045 0.000 7.403
Cu 0.000 0.000 4.930
Si 0.000 0.000 0.000
Si 0.000 2.045 6.236
Si 2.045 0.000 3.623
Si 2.045 2.045 0.000
Rh 0.000 2.045 8.601
Rh 2.045 0.000 1.258
Rh 2.045 2.045 4.930
```

3.
A plane-wave DFT calculation with PBE-GGA was carried out for a relaxed structure of VCuSiRh. Values from VASP.

formation energy without anion corrections = -0.317 eV/atom

The structure in Quantum ESPRESSO input format:
```
&SYSTEM
  ibrav = 0, nat = 4, ntyp = 4
/
ATOMIC_SPECIES
V 50.94 V.upf
Cu 63.55 Cu.upf
Si 28.09 Si.upf
Rh 102.91 Rh.upf
CELL_PARAMETERS angstrom
0.000 2.962 2.962
2.962 0.000 2.962
2.962 2.962 0.000
ATOMIC_POSITIONS angstrom
V 0.000 0.000 0.000
Cu 1.481 1.481 1.481
Si 4.443 4.443 4.443
Rh 2.962 2.962 2.962
```

4.
A plane-wave DFT calculation with PBE-GGA was carried out for a relaxed structure of Y2CuSi4Rh3. Values from VASP.

formation energy without anion corrections = -0.904 eV/atom

The structure in Quantum ESPRESSO input format:
```
&SYSTEM
  ibrav = 0, nat = 10, ntyp = 4
/
ATOMIC_SPECIES
Y 88.91 Y.upf
Cu 63.55 Cu.upf
Si 28.09 Si.upf
Rh 102.91 Rh.upf
CELL_PARAMETERS angstrom
4.111 0.000 0.000
0.000 4.111 0.000
0.000 0.000 9.871
ATOMIC_POSITIONS angstrom
Y 0.000 2.055 2.431
Y 2.055 0.000 7.440
Cu 0.000 0.000 4.935
Si 0.000 0.000 0.000
Si 0.000 2.055 6.238
Si 2.055 0.000 3.633
Si 2.055 2.055 0.000
Rh 0.000 2.055 8.617
Rh 2.055 0.000 1.253
Rh 2.055 2.055 4.935
```

5.
A plane-wave DFT calculation with PBE-GGA was carried out for a relaxed structure of Y2CuSi2Rh5. Values from VASP.

formation energy without anion corrections = -0.821 eV/atom

The structure in Quantum ESPRESSO input format:
```
&SYSTEM
  ibrav = 0, nat = 20, ntyp = 4
/
ATOMIC_SPECIES
Y 88.91 Y.upf
Cu 63.55 Cu.upf
Si 28.09 Si.upf
Rh 102.91 Rh.upf
CELL_PARAMETERS angstrom
9.750 0.000 0.000
0.000 9.750 0.000
0.000 0.000 3.415
ATOMIC_POSITIONS angstrom
Y 1.693 3.182 0.000
Y 3.182 8.057 0.000
Y 6.569 1.693 0.000
Y 8.057 6.569 0.000
Cu 0.000 0.000 0.000
Cu 4.875 4.875 0.000
Si 1.235 6.110 0.000
Si 3.640 1.235 0.000
Si 6.110 8.515 0.000
Si 8.515 3.640 0.000
Rh 0.000 4.875 1.707
Rh 0.654 7.709 1.707
Rh 2.041 0.654 1.707
Rh 2.834 5.530 1.707
Rh 4.221 2.834 1.707
Rh 4.875 0.000 1.707
Rh 5.530 6.916 1.707
Rh 6.916 4.221 1.707
Rh 7.709 9.096 1.707
Rh 9.096 2.041 1.707
```

6.
A plane-wave DFT calculation with PBE-GGA was carried out for a relaxed structure of ZnCuSiRh. Values from VASP.

formation energy without anion corrections = -0.260 eV/atom

The structure in Quantum ESPRESSO input format:
```
&SYSTEM
  ibrav = 0, nat = 4, ntyp = 4
/
ATOMIC_SPECIES
Zn 65.41 Zn.upf
Cu 63.55 Cu.upf
Si 28.09 Si.upf
Rh 102.91 Rh.upf
CELL_PARAMETERS angstrom
0.000 2.972 2.972
2.972 0.000 2.972
2.972 2.972 0.000
ATOMIC_POSITIONS angstrom
Zn 0.000 0.000 0.000
Cu 4.457 4.457 4.457
Si 2.972 2.972 2.972
Rh 1.486 1.486 1.486
```

7.
A plane-wave DFT calculation with PBE-GGA was carried out for a relaxed structure of ZrCuSi2Rh. Values from VASP.

formation energy without anion corrections = 0.376 eV/atom

The structure in Quantum ESPRESSO input format:
```
&SYSTEM
  ibrav = 0, nat = 5, ntyp = 4
/
ATOMIC_SPECIES
Zr 91.22 Zr.upf
Cu 63.55 Cu.upf
Si 28.09 Si.upf
Rh 102.91 Rh.upf
CELL_PARAMETERS angstrom
4.483 0.000 0.000
0.000 4.483 0.000
0.000 0.000 5.142
ATOMIC_POSITIONS angstrom
Zr 0.000 0.000 0.000
Cu 2.241 2.241 0.000
Si 0.000 2.241 2.571
Si 2.241 0.000 2.571
Rh 0.000 0.000 2.571
```

8.
A plane-wave DFT calculation with PBE-GGA was carried out for a relaxed structure of ZrCuSi2Rh. Values from VASP.

formation energy without anion corrections = 0.364 eV/atom

The structure in Quantum ESPRESSO input format:
```
&SYSTEM
  ibrav = 0, nat = 5, ntyp = 4
/
ATOMIC_SPECIES
Zr 91.22 Zr.upf
Cu 63.55 Cu.upf
Si 28.09 Si.upf
Rh 102.91 Rh.upf
CELL_PARAMETERS angstrom
4.340 0.000 0.000
0.000 4.340 0.000
0.000 0.000 4.617
ATOMIC_POSITIONS angstrom
Zr 0.000 0.000 0.000
Cu 2.170 2.170 2.309
Si 0.000 2.170 2.309
Si 2.170 0.000 2.309
Rh 2.170 2.170 0.000
```

- Which of these has the highest formation energy without anion corrections?
  number 7

- The lowest formation energy without anion corrections belongs to which entry?
  Y2CuSi4Rh3

- Which formula does entry 4 have?
  Y2CuSi4Rh3